Here is crystalline Er3TmNi at its relaxed geometry from the Alexandria database. Energies are from PBE.

- Energy of formation from the pure elements: -0.189 eV/atom
- Relative energy among the computed polymorphs: 0.000 eV per atom
- Total moment: 0.0 μB/f.u.
- Volume: 26.3 A^3/atom

a b c (Å): 11.9465 3.5684 13.6379
angles (deg): 90.00 115.42 90.00
With the nearest neighbours (Å) after each atom.
Space group Cm (No. 8)
Symmetry-distinct sites (fractional):
Er (0.0000, 0.0000, 0.0000) [2 per cell]  10 Er 3.49-3.64, 2 Tm 3.52, 1 Ni 3.76
Er (0.0447, 0.0000, 0.5984) [2 per cell]  3 Ni 2.79-2.86
Er (0.2152, 0.0000, 0.8751) [2 per cell]  2 Ni 2.78
Er (0.2771, 0.5000, 0.1159) [2 per cell]  9 Er 3.49-3.63, 3 Tm 3.56-3.64, 1 Ni 3.74
Er (0.3504, 0.0000, 0.3566) [2 per cell]  2 Ni 2.83
Er (0.4254, 0.0000, 0.7580) [2 per cell]  2 Ni 2.82
Tm (0.0617, 0.5000, 0.2407) [2 per cell]  2 Ni 2.76
Tm (0.2311, 0.5000, 0.5158) [2 per cell]  3 Ni 2.78-2.86
Ni (0.0471, 0.0000, 0.3893) [2 per cell]  4 Tm 2.76-2.78, 3 Er 2.83-2.86
Ni (0.2296, 0.5000, 0.7250) [2 per cell]  6 Er 2.78-2.82, 1 Tm 2.86


Here is crystalline Er2Tm5Ni4 at its relaxed geometry from the Alexandria database. Energies are from PBE.

- Energy of formation from the pure elements: -0.175 eV/atom
- Total moment: 0.0 μB/f.u.
- Volume: 23.5 A^3/atom

a b c (Å): 22.3790 3.5227 6.6127
angles (deg): 90.00 96.56 90.00
With the nearest neighbours (Å) after each atom.
Space group C2/m (No. 12)
Symmetry-distinct sites (fractional):
Er (0.2293, 0.0000, 0.2622) [4 per cell]  3 Ni 2.74-2.85
Tm (0.0000, 0.0000, 0.0000) [2 per cell]  4 Ni 2.78
Tm (0.1018, 0.5000, 0.3976) [4 per cell]  4 Ni 2.70-2.82
Tm (0.1296, 0.5000, 0.8935) [4 per cell]  3 Ni 2.68-2.75
Ni (0.0191, 0.5000, 0.6892) [4 per cell]  1 Ni 2.55, 5 Tm 2.68-2.82
Ni (0.1780, 0.0000, 0.6379) [4 per cell]  3 Er 2.74-2.85, 4 Tm 2.75-2.81


Here is crystalline Er2TmNi2 at its relaxed geometry from the Alexandria database. Energies are from PBE.

- Energy of formation from the pure elements: -0.368 eV/atom
- Relative energy among the computed polymorphs: 0.000 eV per atom
- Total moment: 0.0 μB/f.u.
- Volume: 21.2 A^3/atom

a b c (Å): 7.3918 7.3918 3.8811
angles (deg): 90.00 90.00 90.00
With the nearest neighbours (Å) after each atom.
Space group P4/mbm (No. 127)
Symmetry-distinct sites (fractional):
Er (0.1650, 0.3350, 0.0000) [4 per cell]  6 Ni 2.91-2.92
Tm (0.0000, 0.0000, 0.5000) [2 per cell]  4 Ni 2.92
Ni (0.1257, 0.6257, 0.5000) [4 per cell]  1 Ni 2.63, 6 Er 2.91-2.92, 2 Tm 2.92


Here is crystalline ErTm5Ni2 at its relaxed geometry from the Alexandria database. Energies are from PBE.

- Energy of formation from the pure elements: -0.180 eV/atom
- Relative energy among the computed polymorphs: 0.000 eV per atom
- Total moment: 0.0 μB/f.u.
- Volume: 25.0 A^3/atom

a b c (Å): 4.7708 11.7089 14.3492
angles (deg): 90.00 90.00 90.00
With the nearest neighbours (Å) after each atom.
Space group Cmcm (No. 63)
Symmetry-distinct sites (fractional):
Er (0.0000, 0.1340, 0.2500) [4 per cell]  4 Ni 3.14, 5 Tm 3.29-3.49
Tm (0.0000, 0.1544, 0.0213) [8 per cell]  3 Ni 2.71-2.75
Tm (0.0000, 0.1637, 0.7500) [4 per cell]  2 Ni 2.65
Tm (0.0000, 0.4598, 0.1211) [8 per cell]  1 Ni 2.62
Ni (0.0000, 0.3162, 0.6138) [8 per cell]  5 Tm 2.62-2.75